Entry 1:
## YEr2ThSc (PBE-GGA)

Data for YEr2ThSc after structural relaxation.

Output
**ΔE_f**: 0.039 eV/atom

Unit cell a=6.124 b=5.620 c=9.343 alpha=90.00 beta=109.04 gamma=90.00
Positions (direct):
Y 0.071 0.250 0.308
Y 0.929 0.750 0.692
Er 0.140 0.750 0.102
Er 0.278 0.250 0.697
Er 0.722 0.750 0.303
Er 0.860 0.250 0.898
Th 0.468 0.250 0.099
Th 0.532 0.750 0.901
Sc 0.340 0.750 0.506
Sc 0.660 0.250 0.494

Entry 2:
## Y5Er2ThSc (PBE-GGA)

Data for Y5Er2ThSc after structural relaxation.

Output
**ΔE_f**: 0.171 eV/atom

Unit cell a=11.217 b=11.217 c=9.471 alpha=90.00 beta=90.00 gamma=150.82
Positions (direct):
Y 0.013 0.987 0.500
Y 0.269 0.731 0.814
Y 0.303 0.697 0.204
Y 0.393 0.607 0.531
Y 0.471 0.529 0.234
Y 0.529 0.471 0.734
Y 0.607 0.393 0.031
Y 0.697 0.303 0.704
Y 0.731 0.269 0.314
Y 0.987 0.013 0.000
Er 0.115 0.885 0.809
Er 0.131 0.869 0.199
Er 0.869 0.131 0.699
Er 0.885 0.115 0.309
Th 0.401 0.599 0.913
Th 0.599 0.401 0.413
Sc 0.188 0.812 0.502
Sc 0.812 0.188 0.002

Entry 3:
## ErThScZn (PBE-GGA)

Data for ErThScZn after structural relaxation.

Output
**ΔE_f**: -0.170 eV/atom

Unit cell a=3.476 b=3.476 c=8.267 alpha=90.00 beta=90.00 gamma=90.00
Positions (direct):
Er 0.000 0.000 0.000
Th 0.500 0.500 0.304
Sc 0.000 0.000 0.585
Zn 0.500 0.500 0.774

Entry 4:
## ErThScZn (PBE-GGA)

Data for ErThScZn after structural relaxation.

Output
**ΔE_f**: 0.029 eV/atom

Unit cell a=5.248 b=5.248 c=5.248 alpha=60.00 beta=60.00 gamma=60.00
Positions (direct):
Er 0.000 0.000 0.000
Th 0.500 0.500 0.500
Sc 0.250 0.250 0.250
Zn 0.750 0.750 0.750

Entry 5:
## ErThZrSc3 (PBE-GGA)

Data for ErThZrSc3 after structural relaxation.

Output
**ΔE_f**: 0.039 eV/atom

Unit cell a=7.469 b=4.767 c=9.396 alpha=90.00 beta=108.61 gamma=90.00
Positions (direct):
Er 0.169 0.250 0.298
Er 0.831 0.750 0.702
Th 0.499 0.750 0.872
Th 0.501 0.250 0.128
Zr 0.499 0.750 0.382
Zr 0.501 0.250 0.618
Sc 0.173 0.750 0.047
Sc 0.177 0.250 0.788
Sc 0.178 0.750 0.541
Sc 0.822 0.250 0.459
Sc 0.823 0.750 0.212
Sc 0.827 0.250 0.953

Entry 6:
## Er2ScTi (PBE-GGA)

Data for Er2ScTi after structural relaxation.

Output
**ΔE_f**: 0.396 eV/atom

Unit cell a=11.445 b=11.445 c=11.445 alpha=16.41 beta=16.41 gamma=16.41
Positions (direct):
Er 0.086 0.086 0.086
Er 0.914 0.914 0.914
Sc 0.500 0.500 0.500
Ti 0.000 0.000 0.000

Entry 7:
## Er2ScTi (PBE-GGA)

Data for Er2ScTi after structural relaxation.

Output
**ΔE_f**: 0.176 eV/atom

Unit cell a=4.708 b=4.708 c=4.527 alpha=90.00 beta=90.00 gamma=90.00
Positions (direct):
Er 0.000 0.500 0.000
Er 0.500 0.000 0.000
Sc 0.000 0.000 0.500
Ti 0.500 0.500 0.500

Entry 8:
## ErScTi4 (PBE-GGA)

Data for ErScTi4 after structural relaxation.

Output
**ΔE_f**: 0.231 eV/atom

Unit cell a=5.685 b=5.685 c=5.685 alpha=60.00 beta=60.00 gamma=60.00
Positions (direct):
Er 0.000 0.000 0.000
Sc 0.750 0.750 0.750
Ti 0.376 0.376 0.376
Ti 0.376 0.376 0.872
Ti 0.376 0.872 0.376
Ti 0.872 0.376 0.376

Question: ΔE_f of number 5 (ErThZrSc3)?
Answer: 0.039 eV/atom